i:
# PBE Th2ZnRh4, relaxed
# total moment = 0.00 Bohr magnetons per cell
data_Th2ZnRh4
_chemical_formula_sum 'Th2 Zn1 Rh4'
_symmetry_space_group_name_H-M 'P -1'
_symmetry_Int_Tables_number 2
_cell_length_a 4.886
_cell_length_b 4.923
_cell_length_c 6.933
_cell_angle_alpha 72.89
_cell_angle_beta 81.52
_cell_angle_gamma 69.81
loop_
_symmetry_equiv_pos_as_xyz
'x,y,z'
'-x,-y,-z'
loop_
_atom_site_label
_atom_site_type_symbol
_atom_site_fract_x
_atom_site_fract_y
_atom_site_fract_z
Th1 Th 0.026 0.144 0.220
Zn1 Zn 0.500 0.500 0.500
Rh1 Rh 0.000 0.500 0.500
Rh2 Rh 0.309 0.189 0.851
Rh3 Rh 0.500 0.000 0.500



ii:
# PBE Th2ZnRh4, relaxed
# total moment = 0.00 Bohr magnetons per cell
data_Th2ZnRh4
_chemical_formula_sum 'Th4 Zn2 Rh8'
_symmetry_space_group_name_H-M 'I 4/m m m'
_symmetry_Int_Tables_number 139
_symmetry_space_group_name_Hall '-I 4 2'
_cell_length_a 4.567
_cell_length_b 4.567
_cell_length_c 14.067
_cell_angle_alpha 90.00
_cell_angle_beta 90.00
_cell_angle_gamma 90.00
loop_
_atom_site_label
_atom_site_type_symbol
_atom_site_fract_x
_atom_site_fract_y
_atom_site_fract_z
Th1 Th 0.000 0.000 0.189
Zn1 Zn 0.000 0.000 0.000
Rh1 Rh 0.000 0.000 0.366
Rh2 Rh 0.000 0.500 0.000



Stability ranking, top and bottom: i is the most stable and ii is the least stable.



i:
# PBE Th2ZrRh, relaxed
# total moment = 0.00 Bohr magnetons per cell
data_Th2ZrRh
_chemical_formula_sum 'Th2 Zr1 Rh1'
_symmetry_space_group_name_H-M 'P 4/m m m'
_symmetry_Int_Tables_number 123
_symmetry_space_group_name_Hall '-P 4 2'
_cell_length_a 3.624
_cell_length_b 3.624
_cell_length_c 7.800
_cell_angle_alpha 90.00
_cell_angle_beta 90.00
_cell_angle_gamma 90.00
loop_
_atom_site_label
_atom_site_type_symbol
_atom_site_fract_x
_atom_site_fract_y
_atom_site_fract_z
Th1 Th 0.000 0.000 0.216
Zr1 Zr 0.500 0.500 0.500
Rh1 Rh 0.500 0.500 0.000



ii:
# PBE Th2ZrRh, relaxed
# total moment = 2.15 Bohr magnetons per cell
data_Th2ZrRh
_chemical_formula_sum 'Th6 Zr3 Rh3'
_symmetry_space_group_name_H-M 'R -3 m'
_symmetry_Int_Tables_number 166
_symmetry_space_group_name_Hall '-R 3 2"'
_cell_length_a 3.5835
_cell_length_b 3.5835
_cell_length_c 30.0828
_cell_angle_alpha 90.00
_cell_angle_beta 90.00
_cell_angle_gamma 120.00
loop_
_atom_site_label
_atom_site_type_symbol
_atom_site_fract_x
_atom_site_fract_y
_atom_site_fract_z
Th1 Th 0.0000 0.0000 0.1013
Zr1 Zr 0.0000 0.0000 0.0000
Rh1 Rh 0.0000 0.0000 0.5000



Stability ranking, top and bottom: i is the most stable and ii is the least stable.



i:
# PBE Ti5Rh, relaxed
# total moment = 0.01 Bohr magnetons per cell
data_Ti5Rh
_chemical_formula_sum 'Ti10 Rh2'
_symmetry_space_group_name_H-M 'C m m m'
_symmetry_Int_Tables_number 65
_symmetry_space_group_name_Hall '-C 2 2'
_cell_length_a 3.065
_cell_length_b 13.821
_cell_length_c 4.570
_cell_angle_alpha 90.00
_cell_angle_beta 90.00
_cell_angle_gamma 90.00
loop_
_atom_site_label
_atom_site_type_symbol
_atom_site_fract_x
_atom_site_fract_y
_atom_site_fract_z
Ti1 Ti 0.000 0.000 0.000
Ti2 Ti 0.000 0.162 0.500
Ti3 Ti 0.000 0.332 0.000
Rh1 Rh 0.000 0.500 0.500



ii:
# PBE Ti5Rh, relaxed
# total moment = 0.00 Bohr magnetons per cell
data_Ti5Rh
_chemical_formula_sum 'Ti5 Rh1'
_symmetry_space_group_name_H-M 'P 4/m m m'
_symmetry_Int_Tables_number 123
_symmetry_space_group_name_Hall '-P 4 2'
_cell_length_a 3.050
_cell_length_b 3.050
_cell_length_c 10.572
_cell_angle_alpha 90.00
_cell_angle_beta 90.00
_cell_angle_gamma 90.00
loop_
_atom_site_label
_atom_site_type_symbol
_atom_site_fract_x
_atom_site_fract_y
_atom_site_fract_z
Ti1 Ti 0.000 0.000 0.000
Ti2 Ti 0.000 0.000 0.349
Ti3 Ti 0.500 0.500 0.180
Rh1 Rh 0.500 0.500 0.500



Stability ranking, top and bottom: ii is the most stable and i is the least stable.



i:
# PBE TmTiRh4, relaxed
# total moment = 0.00 Bohr magnetons per cell
data_TmTiRh4
_chemical_formula_sum 'Tm2 Ti2 Rh8'
_symmetry_space_group_name_H-M 'C 1 2/m 1'
_symmetry_Int_Tables_number 12
_cell_length_a 10.101
_cell_length_b 3.095
_cell_length_c 6.630
_cell_angle_alpha 90.00
_cell_angle_beta 109.89
_cell_angle_gamma 90.00
loop_
_symmetry_equiv_pos_as_xyz
'x,y,z'
'-x,-y,-z'
'-x,y,-z'
'x,-y,z'
'x+1/2,y+1/2,z'
'-x+1/2,-y+1/2,-z'
'-x+1/2,y+1/2,-z'
'x+1/2,-y+1/2,z'
loop_
_atom_site_label
_atom_site_type_symbol
_atom_site_fract_x
_atom_site_fract_y
_atom_site_fract_z
Tm1 Tm 0.000 0.000 0.000
Ti1 Ti 0.000 0.000 0.500
Rh1 Rh 0.148 0.500 0.363
Rh2 Rh 0.170 0.500 0.805



ii:
# PBE TmTiRh4, relaxed
# total moment = 0.00 Bohr magnetons per cell
data_TmTiRh4
_chemical_formula_sum 'Tm4 Ti4 Rh16'
_symmetry_space_group_name_H-M 'F -4 3 m'
_symmetry_Int_Tables_number 216
_symmetry_space_group_name_Hall 'F -4 2 3'
_cell_length_a 7.358
_cell_length_b 7.358
_cell_length_c 7.358
_cell_angle_alpha 90.00
_cell_angle_beta 90.00
_cell_angle_gamma 90.00
loop_
_atom_site_label
_atom_site_type_symbol
_atom_site_fract_x
_atom_site_fract_y
_atom_site_fract_z
Tm1 Tm 0.000 0.000 0.000
Ti1 Ti 0.250 0.250 0.250
Rh1 Rh 0.125 0.125 0.625



Stability ranking, top and bottom: ii is the most stable and i is the least stable.



i:
# PBE UTiRh2, relaxed
# total moment = 1.18 Bohr magnetons per cell
data_UTiRh2
_chemical_formula_sum 'U3 Ti3 Rh6'
_symmetry_space_group_name_H-M 'R -3 m'
_symmetry_Int_Tables_number 166
_symmetry_space_group_name_Hall '-R 3 2"'
_cell_length_a 2.9194
_cell_length_b 2.9194
_cell_length_c 27.0389
_cell_angle_alpha 90.00
_cell_angle_beta 90.00
_cell_angle_gamma 120.00
loop_
_atom_site_label
_atom_site_type_symbol
_atom_site_fract_x
_atom_site_fract_y
_atom_site_fract_z
U1 U 0.0000 0.0000 0.0000
Ti1 Ti 0.0000 0.0000 0.5000
Rh1 Rh 0.0000 0.0000 0.2403



ii:
# PBE UTiRh2, relaxed
# total moment = 2.60 Bohr magnetons per cell
data_UTiRh2
_chemical_formula_sum 'U1 Ti1 Rh2'
_symmetry_space_group_name_H-M 'P 4/m m m'
_symmetry_Int_Tables_number 123
_symmetry_space_group_name_Hall '-P 4 2'
_cell_length_a 4.240
_cell_length_b 4.240
_cell_length_c 3.831
_cell_angle_alpha 90.00
_cell_angle_beta 90.00
_cell_angle_gamma 90.00
loop_
_atom_site_label
_atom_site_type_symbol
_atom_site_fract_x
_atom_site_fract_y
_atom_site_fract_z
U1 U 0.000 0.000 0.000
Ti1 Ti 0.500 0.500 0.000
Rh1 Rh 0.000 0.500 0.500



Stability ranking, top and bottom: ii is the most stable and i is the least stable.



i:
# PBE TiVRh6, relaxed
# total moment = 0.00 Bohr magnetons per cell
data_TiVRh6
_chemical_formula_sum 'Ti2 V2 Rh12'
_symmetry_space_group_name_H-M 'C 1 2/m 1'
_symmetry_Int_Tables_number 12
_cell_length_a 7.466
_cell_length_b 5.309
_cell_length_c 6.997
_cell_angle_alpha 90.00
_cell_angle_beta 112.40
_cell_angle_gamma 90.00
loop_
_symmetry_equiv_pos_as_xyz
'x,y,z'
'-x,-y,-z'
'-x,y,-z'
'x,-y,z'
'x+1/2,y+1/2,z'
'-x+1/2,-y+1/2,-z'
'-x+1/2,y+1/2,-z'
'x+1/2,-y+1/2,z'
loop_
_atom_site_label
_atom_site_type_symbol
_atom_site_fract_x
_atom_site_fract_y
_atom_site_fract_z
Ti1 Ti 0.000 0.000 0.000
V1 V 0.000 0.500 0.500
Rh1 Rh 0.143 0.000 0.434
Rh2 Rh 0.202 0.239 0.797



ii:
# PBE TiVRh6, relaxed
# total moment = 0.00 Bohr magnetons per cell
data_TiVRh6
_chemical_formula_sum 'Ti1 V1 Rh6'
_symmetry_space_group_name_H-M 'P 4/m m m'
_symmetry_Int_Tables_number 123
_symmetry_space_group_name_Hall '-P 4 2'
_cell_length_a 3.830
_cell_length_b 3.830
_cell_length_c 7.670
_cell_angle_alpha 90.00
_cell_angle_beta 90.00
_cell_angle_gamma 90.00
loop_
_atom_site_label
_atom_site_type_symbol
_atom_site_fract_x
_atom_site_fract_y
_atom_site_fract_z
Ti1 Ti 0.000 0.000 0.000
V1 V 0.000 0.000 0.500
Rh1 Rh 0.000 0.500 0.255
Rh2 Rh 0.500 0.500 0.000
Rh3 Rh 0.500 0.500 0.500



Stability ranking, top and bottom: ii is the most stable and i is the least stable.